(1)
DFT (PBE) results for a relaxed structure of CaCd3.

* symmetry: No. 221
* total DFT energy (no corrections): -5.7 eV per formula unit
* formation enthalpy at 0 K: -0.25 eV per atom
* total magnetic moment: 0.00 μB per cell
* V: 25.36 Å³/atom

a b c (Å): 4.663 4.664 4.664
angles (deg): 90.00 90.00 90.00
Fractional coordinates of all 4 atoms:
Cd: 0.500 0.000 0.417
Cd: 0.000 0.000 0.917
Cd: 0.500 0.500 0.917
Ca: 0.000 0.500 0.417

---

(2)
DFT (PBE) results for a relaxed structure of CaCd7.

* symmetry: No. 12
* total DFT energy (no corrections): -9.6 eV per formula unit
* formation enthalpy at 0 K: -0.14 eV per atom
* total magnetic moment: 0.00 μB per cell
* V: 24.24 Å³/atom

a b c (Å): 3.768 7.526 7.526
angles (deg): 73.30 75.32 75.32
Fractional coordinates of all 8 atoms:
Cd: 0.370 0.847 0.417
Cd: 0.259 0.241 0.241
Cd: 0.000 0.500 0.500
Cd: 0.370 0.417 0.847
Cd: 0.741 0.759 0.759
Ca: 0.000 0.000 0.000
Cd: 0.630 0.583 0.153
Cd: 0.630 0.153 0.583

---

(3)
DFT (PBE) results for a relaxed structure of CaCd3.

* symmetry: No. 166
* total DFT energy (no corrections): -5.0 eV per formula unit
* formation enthalpy at 0 K: -0.07 eV per atom
* total magnetic moment: 0.00 μB per cell
* V: 27.43 Å³/atom

a b c (Å): 9.597 9.597 9.597
angles (deg): 22.11 22.11 22.11
Fractional coordinates of all 4 atoms:
Cd: 0.756 0.756 0.756
Ca: 0.000 0.000 0.000
Cd: 0.500 0.500 0.500
Cd: 0.244 0.244 0.244

---

(4)
DFT (PBE) results for a relaxed structure of CaCd3.

* symmetry: No. 187
* total DFT energy (no corrections): -5.0 eV per formula unit
* formation enthalpy at 0 K: -0.07 eV per atom
* total magnetic moment: 0.00 μB per cell
* V: 27.15 Å³/atom

a b c (Å): 3.628 3.628 9.529
angles (deg): 90.00 90.00 120.00
Fractional coordinates of all 4 atoms:
Ca: 0.000 0.000 0.000
Cd: 0.000 0.000 0.500
Cd: 0.667 0.333 0.265
Cd: 0.667 0.333 0.735

---

(5)
DFT (PBE) results for a relaxed structure of Ca2Cd.

* symmetry: No. 141
* total DFT energy (no corrections): -5.4 eV per formula unit
* formation enthalpy at 0 K: -0.17 eV per atom
* total magnetic moment: 0.00 μB per cell
* V: 34.20 Å³/atom

a b c (Å): 14.733 14.733 14.733
angles (deg): 165.33 165.33 20.81
Fractional coordinates of all 6 atoms:
Ca: 0.683 0.183 0.500
Ca: 0.567 0.567 0.000
Cd: 0.250 0.750 0.500
Cd: 0.000 0.000 0.000
Ca: 0.817 0.317 0.500
Ca: 0.433 0.433 0.000

---

(6)
DFT (PBE) results for a relaxed structure of CaCd3.

* symmetry: No. 10
* total DFT energy (no corrections): -5.6 eV per formula unit
* formation enthalpy at 0 K: -0.21 eV per atom
* total magnetic moment: 0.00 μB per cell
* V: 26.27 Å³/atom

a b c (Å): 5.038 3.509 5.949
angles (deg): 92.23 90.00 90.00
Fractional coordinates of all 4 atoms:
Ca: 0.000 0.000 0.000
Cd: 0.500 0.480 0.752
Cd: 0.500 0.520 0.248
Cd: 0.000 0.500 0.500

---

(7)
DFT (PBE) results for a relaxed structure of CaCd3.

* symmetry: No. 166
* total DFT energy (no corrections): -5.2 eV per formula unit
* formation enthalpy at 0 K: -0.11 eV per atom
* total magnetic moment: 0.00 μB per cell
* V: 25.39 Å³/atom

a b c (Å): 6.146 6.146 6.146
angles (deg): 117.05 117.05 117.05
Fractional coordinates of all 4 atoms:
Ca: 0.000 0.000 0.000
Cd: 0.500 0.500 0.000
Cd: 0.500 0.000 0.500
Cd: 0.000 0.500 0.500

---

(8)
DFT (PBE) results for a relaxed structure of Ca3Cd2.

* symmetry: No. 136
* total DFT energy (no corrections): -9.3 eV per formula unit
* formation enthalpy at 0 K: -0.29 eV per atom
* total magnetic moment: 0.00 μB per cell
* V: 31.35 Å³/atom

a b c (Å): 8.802 8.802 8.091
angles (deg): 90.00 90.00 90.00
Fractional coordinates of all 20 atoms:
Ca: 0.145 0.145 0.256
Ca: 0.500 0.000 0.006
Ca: 0.355 0.645 0.756
Cd: 0.874 0.126 0.560
Cd: 0.874 0.126 0.952
Ca: 0.199 0.199 0.756
Cd: 0.374 0.374 0.060
Ca: 0.000 0.500 0.506
Cd: 0.126 0.874 0.560
Ca: 0.699 0.301 0.256
Cd: 0.126 0.874 0.952
Cd: 0.626 0.626 0.452
Ca: 0.000 0.500 0.006
Ca: 0.855 0.855 0.256
Cd: 0.374 0.374 0.452
Ca: 0.500 0.000 0.506
Ca: 0.801 0.801 0.756
Ca: 0.301 0.699 0.256
Cd: 0.626 0.626 0.060
Ca: 0.645 0.355 0.756

---

(9)
DFT (PBE) results for a relaxed structure of Ca5Cd.

* symmetry: No. 216
* ΔE to the lowest computed polymorph: 298 meV/atom
* total DFT energy (no corrections): -9.8 eV per formula unit
* formation enthalpy at 0 K: 0.18 eV per atom
* total magnetic moment: 0.00 μB per cell
* V: 40.54 Å³/atom

a b c (Å): 7.007 7.007 7.007
angles (deg): 60.00 60.00 60.00
Fractional coordinates of all 6 atoms:
Ca: 0.250 0.250 0.250
Ca: 0.625 0.625 0.124
Cd: 0.000 0.000 0.000
Ca: 0.625 0.625 0.625
Ca: 0.625 0.124 0.625
Ca: 0.124 0.625 0.625

---

(10)
DFT (PBE) results for a relaxed structure of Ca2Cd.

* symmetry: No. 123
* total DFT energy (no corrections): -5.3 eV per formula unit
* formation enthalpy at 0 K: -0.12 eV per atom
* total magnetic moment: 0.00 μB per cell
* V: 36.32 Å³/atom

a b c (Å): 5.382 5.382 3.762
angles (deg): 90.00 90.00 90.00
Fractional coordinates of all 3 atoms:
Ca: 0.500 0.000 0.500
Ca: 0.000 0.500 0.500
Cd: 0.000 0.000 0.000

---

(11)
DFT (PBE) results for a relaxed structure of CaCd11.

* symmetry: No. 141
* total DFT energy (no corrections): -13.2 eV per formula unit
* formation enthalpy at 0 K: -0.09 eV per atom
* total magnetic moment: 0.00 μB per cell
* V: 23.63 Å³/atom

a b c (Å): 7.792 9.379 9.379
angles (deg): 80.06 65.46 65.46
Fractional coordinates of all 24 atoms:
Cd: 0.667 0.177 0.582
Cd: 0.594 0.323 0.082
Cd: 0.875 0.250 0.750
Cd: 0.875 0.750 0.250
Cd: 0.156 0.177 0.418
Cd: 0.375 0.750 0.750
Ca: 0.250 0.500 0.500
Cd: 0.000 0.000 0.000
Ca: 0.500 0.000 0.000
Cd: 0.426 0.418 0.823
Cd: 0.667 0.582 0.177
Cd: 0.324 0.677 0.082
Cd: 0.875 0.250 0.250
Cd: 0.751 0.823 0.582
Cd: 0.751 0.582 0.823
Cd: 0.426 0.823 0.418
Cd: 0.156 0.418 0.177
Cd: 0.999 0.918 0.677
Cd: 0.083 0.918 0.323
Cd: 0.999 0.677 0.918
Cd: 0.750 0.500 0.500
Cd: 0.083 0.323 0.918
Cd: 0.594 0.082 0.323
Cd: 0.324 0.082 0.677

---

(12)
DFT (PBE) results for a relaxed structure of Ca2Cd.

* symmetry: No. 194
* total DFT energy (no corrections): -4.2 eV per formula unit
* formation enthalpy at 0 K: 0.24 eV per atom
* total magnetic moment: 0.00 μB per cell
* V: 36.24 Å³/atom

a b c (Å): 6.828 6.828 10.770
angles (deg): 90.00 90.00 120.00
Fractional coordinates of all 12 atoms:
Ca: 0.347 0.174 0.250
Cd: 0.333 0.667 0.034
Ca: 0.826 0.174 0.250
Ca: 0.174 0.826 0.750
Ca: 0.000 0.000 0.500
Cd: 0.667 0.333 0.534
Cd: 0.333 0.667 0.466
Cd: 0.667 0.333 0.966
Ca: 0.826 0.653 0.250
Ca: 0.653 0.826 0.750
Ca: 0.174 0.347 0.750
Ca: 0.000 0.000 0.000

---

Question: Among the records above, which one has the lowest V?
Answer: CaCd11

---

Question: Look up the total magnetic moment of the twelfth one.
Answer: 0.00 μB per cell

---

Question: total magnetic moment of number 1 (CaCd3)?
Answer: 0.00 μB per cell

---

Question: Number 10 is which compound?
Answer: Ca2Cd